Density functional theory data (PBEsol) for BaTc2Ir after structural relaxation.

Output
energy of formation from the pure elements: 1.31 eV per atom
relative energy among the computed polymorphs: 0.000 eV/atom
total DFT energy (no corrections): -7.313 eV/atom

a b c (Å): 4.8465 4.8465 2.9866
angles (deg): 90.00 90.00 90.00
Closest atoms and distances in Å follow each position.
Space group P4/mmm (No. 123)
Asymmetric unit:
Ba  0.0000  0.0000  0.0000 [1 per cell]  8 Tc 2.85, 2 Ba 2.99
Tc  0.0000  0.5000  0.5000 [2 per cell]  4 Ir 2.85, 4 Ba 2.85, 2 Tc 2.99
Ir  0.5000  0.5000  0.0000 [1 per cell]  8 Tc 2.85, 2 Ir 2.99